DFT (PBE) results for a relaxed NdDy6Ho4 crystal.

Values from the calculation:
- Distance to the lowest polymorph of the same formula: 309 meV per atom
- Formation energy: 0.434 eV per atom

POSCAR file:
```
NdDy6Ho4
1.0
-3.800 3.800 6.539
3.800 -3.800 6.539
3.800 3.800 -6.539
Nd Dy Ho
1 6 4
Cartesian
0.000 0.000 0.000
3.800 0.000 0.000
1.955 -1.955 4.100
1.844 1.844 2.439
0.000 3.800 0.000
-1.955 1.955 4.100
1.955 1.955 8.979
2.553 2.553 -1.013
1.246 -1.246 7.553
1.246 1.246 5.526
-1.246 1.246 7.553
```


DFT (PBE) results for a relaxed Nd3Dy7Ho crystal.

Values from the calculation:
- Distance to the lowest polymorph of the same formula: 0 meV per atom
- Formation energy: 0.143 eV per atom

POSCAR file:
```
Nd3Dy7Ho
1.0
6.965 0.000 0.000
0.000 5.539 0.000
-3.333 0.000 9.452
Nd Dy Ho
3 7 1
Cartesian
0.000 0.000 0.000
0.300 2.770 4.695
3.332 2.770 4.757
-1.667 0.000 4.726
-1.606 2.770 7.459
1.789 2.770 1.289
1.847 0.000 3.110
1.785 0.000 6.341
1.842 2.770 8.162
5.237 2.770 1.993
3.482 0.000 0.000
```


DFT (PBE) results for a relaxed Nd2DyHo crystal.

Values from the calculation:
- Distance to the lowest polymorph of the same formula: 7 meV per atom
- Formation energy: 0.020 eV per atom

POSCAR file:
```
Nd2DyHo
1.0
3.613 0.000 0.000
0.000 3.613 0.000
0.000 0.000 10.164
Nd Dy Ho
2 1 1
Cartesian
0.000 0.000 2.535
0.000 0.000 7.629
1.807 1.807 5.082
1.807 1.807 0.000
```


DFT (PBE) results for a relaxed Nd3Dy5Ho crystal.

Values from the calculation:
- Distance to the lowest polymorph of the same formula: 238 meV per atom
- Formation energy: 0.521 eV per atom

POSCAR file:
```
Nd3Dy5Ho
1.0
7.667 -5.697 0.000
7.667 5.697 0.000
-6.476 0.000 7.613
Nd Dy Ho
6 10 2
Cartesian
0.000 0.000 0.000
-1.883 0.000 2.359
6.429 0.000 1.060
4.429 0.000 3.806
2.429 0.000 6.553
10.741 0.000 5.254
0.383 2.856 5.707
-1.344 0.000 5.531
4.429 2.925 3.806
1.261 0.000 3.520
8.475 2.856 1.906
0.383 -2.856 5.707
7.597 0.000 4.093
4.429 -2.925 3.806
10.202 0.000 2.082
8.475 -2.856 1.906
3.218 0.000 0.768
5.640 0.000 6.845
```


DFT (PBE) results for a relaxed NdDy6Ho3 crystal.

Values from the calculation:
- Distance to the lowest polymorph of the same formula: 0 meV per atom
- Formation energy: 0.150 eV per atom

POSCAR file:
```
NdDy6Ho3
1.0
5.504 -9.466 0.000
5.504 9.466 0.000
0.000 0.000 6.181
Nd Dy Ho
2 12 6
Cartesian
5.504 5.563 3.091
5.504 -5.563 0.000
2.757 3.980 1.751
5.504 8.592 4.543
5.504 4.094 0.048
3.689 0.870 0.717
3.689 -0.870 3.808
2.757 -3.980 4.841
8.252 3.980 1.751
7.320 0.870 0.717
7.320 -0.870 3.808
5.504 -4.094 3.139
5.504 -8.592 1.452
8.252 -3.980 4.841
1.902 2.069 4.270
1.902 -2.069 1.179
5.504 2.088 3.564
5.504 -2.088 0.473
9.107 2.069 4.270
9.107 -2.069 1.179
```


DFT (PBE) results for a relaxed NdDy7Ho5 crystal.

Values from the calculation:
- Formation energy: 0.249 eV per atom

POSCAR file:
```
NdDy7Ho5
1.0
-3.329 5.558 5.767
3.329 -5.558 5.767
3.329 5.558 -5.767
Nd Dy Ho
1 7 5
Cartesian
0.000 0.000 0.000
3.329 1.886 0.608
0.000 0.000 3.492
0.000 3.658 0.596
0.000 0.000 7.022
0.000 7.458 0.596
0.000 5.558 3.453
0.000 3.672 6.375
1.561 2.554 -2.294
5.098 2.554 -2.294
3.329 0.000 3.511
-1.768 3.004 3.474
1.768 3.004 3.474
```


Which of these has the lowest formation energy?
Nd2DyHo


The highest formation energy belongs to which entry?
Nd3Dy5Ho


Number 5 is which compound?
NdDy6Ho3